DFT (PBE-GGA) results for crystalline CaReHg2Te at its relaxed geometry.

It has space group P4/mmm (No. 123), with a = 5.2663 Å, b = 5.2663 Å, c = 5.8670 Å, α = 90.00°, β = 90.00° and γ = 90.00°. The asymmetric unit holds Ca at (0.0000, 0.0000, 0.0000), Re at (0.0000, 0.0000, 0.5000), Hg at (0.0000, 0.5000, 0.5000) and Te at (0.5000, 0.5000, 0.0000).

The total energy comes out at -15.0 eV/cell. The value obtained for the uncorrected formation energy is 0.64 eV per atom. The calculated volume comes out at 32.543 A^3/atom. Its spin magnetization is 2.9 μB/cell.

=====

DFT (PBE-GGA) results for crystalline Ca5Hg2Rh2 at its relaxed geometry.

It has space group Cmce (No. 64), with a = 16.2530 Å, b = 7.6787 Å, c = 7.7496 Å, α = 90.00°, β = 90.00° and γ = 90.00°. The asymmetric unit holds Ca at (0.0000, 0.0000, 0.0000), Ca at (0.1206, 0.1701, 0.3300), Hg at (0.2128, 0.0000, 0.0000) and Rh at (0.0000, 0.1230, 0.6236).

The total energy comes out at -116.4 eV/cell. The calculated volume comes out at 26.866 A^3/atom. The formation energy is -40.59 kJ per mole of atoms. Its spin magnetization is 0.0 μB/cell.

=====

DFT (PBE-GGA) results for crystalline CaHgRh3 at its relaxed geometry.

It has space group Pm-3m (No. 221), with a = 4.7804 Å, b = 4.7804 Å, c = 4.7804 Å, α = 90.00°, β = 90.00° and γ = 90.00°. The asymmetric unit holds Ca at (0.0000, 0.0000, 0.0000), Hg at (0.5000, 0.5000, 0.5000) and Rh at (0.0000, 0.0000, 0.5000).

The total energy comes out at -17.7 eV/cell. The calculated volume comes out at 21.849 A^3/atom. The formation energy is 128.23 kJ per mole of atoms. Its spin magnetization is 1.5 μB/cell.

=====

DFT (PBE-GGA) results for crystalline Ca4HgRh at its relaxed geometry.

It has space group C2/c (No. 15), with a = 9.2979 Å, b = 13.6748 Å, c = 6.3604 Å, α = 90.00°, β = 117.39° and γ = 90.00°. The asymmetric unit holds Ca at (0.1129, 0.1694, 0.0764), Ca at (0.2158, 0.4328, 0.3127), Hg at (0.0000, 0.3676, 0.7500) and Rh at (0.0000, 0.0006, 0.2500).

The total energy comes out at -72.6 eV/cell. The calculated volume comes out at 29.920 A^3/atom. The formation energy is -40.02 kJ per mole of atoms. Its spin magnetization is 0.0 μB/cell.

=====

DFT (PBE-GGA) results for crystalline CaHg2Rh2 at its relaxed geometry.

It has space group I4/mmm (No. 139), with a = 4.3945 Å, b = 4.3945 Å, c = 11.4756 Å, α = 90.00°, β = 90.00° and γ = 90.00°. The asymmetric unit holds Ca at (0.0000, 0.0000, 0.0000), Hg at (0.0000, 0.5000, 0.2500) and Rh at (0.0000, 0.0000, 0.3943).

The total energy comes out at -35.2 eV/cell. The calculated volume comes out at 22.161 A^3/atom. The formation energy is -5.18 kJ per mole of atoms. Its spin magnetization is 0.0 μB/cell.

=====

DFT (PBE-GGA) results for crystalline CaHg2Rh2 at its relaxed geometry.

It has space group P4/mbm (No. 127), with a = 7.6160 Å, b = 7.6160 Å, c = 3.4146 Å, α = 90.00°, β = 90.00° and γ = 90.00°. The asymmetric unit holds Ca at (0.0000, 0.0000, 0.0000), Hg at (0.1667, 0.3333, 0.5000) and Rh at (0.1292, 0.6292, 0.0000).

The total energy comes out at -36.2 eV/cell. The calculated volume comes out at 19.806 A^3/atom. The formation energy is -15.74 kJ per mole of atoms. Its spin magnetization is 0.0 μB/cell.

=====

DFT (PBE-GGA) results for crystalline CaHgRh3 at its relaxed geometry.

It has space group Pm-3m (No. 221), with a = 4.9853 Å, b = 4.9853 Å, c = 4.9853 Å, α = 90.00°, β = 90.00° and γ = 90.00°. The asymmetric unit holds Ca at (0.0000, 0.0000, 0.0000), Hg at (0.5000, 0.5000, 0.5000) and Rh at (0.0000, 0.5000, 0.5000).

The total energy comes out at -19.6 eV/cell. The calculated volume comes out at 24.780 A^3/atom. The formation energy is 91.95 kJ per mole of atoms. Its spin magnetization is 1.4 μB/cell.

=====

DFT (PBE-GGA) results for crystalline Ca2HgRh2 at its relaxed geometry.

It has space group I4/mmm (No. 139), with a = 5.5188 Å, b = 5.5188 Å, c = 7.9419 Å, α = 90.00°, β = 90.00° and γ = 90.00°. The asymmetric unit holds Ca at (0.0000, 0.5000, 0.2500), Hg at (0.0000, 0.0000, 0.0000) and Rh at (0.0000, 0.0000, 0.3422).

The total energy comes out at -39.1 eV/cell. The calculated volume comes out at 24.189 A^3/atom. The formation energy is -10.24 kJ per mole of atoms. Its spin magnetization is 0.0 μB/cell.